Density functional theory data (GGA-PBE) for a geometry-optimized Th6Te3PtC2 structure.

The uncorrected formation energy comes out at -902 meV per atom. The total magnetization comes out at 0.00 μB/atom.

The structure belongs to space group C2/m (No. 12); the cell edges are 19.015, 4.002 and 8.840 Å and the angles 90.00°, 108.73° and 90.00°. The inequivalent atoms are Th at (0.025, 0.000, 0.242), Th at (0.169, 0.500, 0.142), Th at (0.181, 0.500, 0.551), Te at (0.000, 0.500, 0.500), Te at (0.159, 0.000, 0.834), Pt at (0.000, 0.500, 0.000) and C at (0.172, 0.000, 0.337).

Density functional theory data (GGA-PBE) for a geometry-optimized Th6TePt2C3 structure.

The uncorrected formation energy comes out at -673 meV per atom. The total magnetization comes out at 0.00 μB/atom.

The structure belongs to space group C2/m (No. 12); the cell edges are 18.115, 3.850 and 8.460 Å and the angles 90.00°, 109.76° and 90.00°. The inequivalent atoms are Th at (0.010, 0.000, 0.212), Th at (0.159, 0.500, 0.104), Th at (0.182, 0.500, 0.564), Te at (0.000, 0.500, 0.500), Pt at (0.168, 0.000, 0.832), C at (0.000, 0.500, 0.000) and C at (0.163, 0.000, 0.327).

Density functional theory data (GGA-PBE) for a geometry-optimized ZnTe2PtC structure.

The uncorrected formation energy comes out at 835 meV per atom. The total magnetization comes out at 0.00 μB/atom.

The structure belongs to space group P4/mmm (No. 123); the cell edges are 5.162, 5.162 and 3.910 Å and the angles 90.00°, 90.00° and 90.00°. The inequivalent atoms are Zn at (0.000, 0.000, 0.000), Te at (0.000, 0.500, 0.500), Pt at (0.500, 0.500, 0.000) and C at (0.500, 0.500, 0.500).

Density functional theory data (GGA-PBE) for a geometry-optimized Th2PtC structure.

The value obtained for the energy of formation from the pure elements is -2.4 eV per formula unit. The total magnetization comes out at 0.00 μB/atom. The relative energy among the computed polymorphs comes out at 0.047 eV/atom.

The structure belongs to space group P2/c (No. 13); the cell edges are 5.870, 5.930 and 11.911 Å and the angles 90.00°, 116.06° and 90.00°. The inequivalent atoms are Th at (0.081, 0.250, 0.099), Th at (0.334, 0.207, 0.851), Pt at (0.396, 0.293, 0.374) and C at (0.063, 0.161, 0.625).

Density functional theory data (GGA-PBE) for a geometry-optimized Th2PtC structure.

The value obtained for the energy of formation from the pure elements is -2.6 eV per formula unit. The total magnetization comes out at 0.00 μB/atom. The relative energy among the computed polymorphs comes out at 0.000 eV/atom.

The structure belongs to space group R-3m (No. 166, hexagonal axes); the cell edges are 3.7938, 3.7938 and 21.2863 Å and the angles 90.00°, 90.00° and 120.00°. The inequivalent atoms are Th at (0.0000, 0.0000, 0.2368), Pt at (0.0000, 0.0000, 0.0000) and C at (0.0000, 0.0000, 0.5000).

Density functional theory data (GGA-PBE) for a geometry-optimized ThPtC structure.

The value obtained for the energy of formation from the pure elements is -0.8 eV per formula unit. The total magnetization comes out at 0.00 μB/atom.

The structure belongs to space group I4/mmm (No. 139); the cell edges are 3.735, 3.735 and 17.394 Å and the angles 90.00°, 90.00° and 90.00°. The inequivalent atoms are Th at (0.000, 0.000, 0.167), Pt at (0.000, 0.000, 0.426) and C at (0.000, 0.000, 0.306).

Density functional theory data (GGA-PBE) for a geometry-optimized Th2PtC structure.

The value obtained for the energy of formation from the pure elements is -1.7 eV per formula unit. The total magnetization comes out at 0.00 μB/atom. The relative energy among the computed polymorphs comes out at 0.241 eV/atom.

The structure belongs to space group R3m (No. 160, hexagonal axes); the cell edges are 3.7975, 3.7975 and 21.3284 Å and the angles 90.00°, 90.00° and 120.00°. The inequivalent atoms are Th at (0.0000, 0.0000, 0.0000), Th at (0.0000, 0.0000, 0.1480), Pt at (0.0000, 0.0000, 0.5739) and C at (0.0000, 0.0000, 0.4017).

Density functional theory data (GGA-PBE) for a geometry-optimized Ti2PtC2 structure.

The value obtained for the energy of formation from the pure elements is -0.9 eV per formula unit. The total magnetization comes out at 0.00 μB/atom. The relative energy among the computed polymorphs comes out at 0.000 eV/atom.

The structure belongs to space group P4/mbm (No. 127); the cell edges are 6.032, 6.032 and 3.028 Å and the angles 90.00°, 90.00° and 90.00°. The inequivalent atoms are Ti at (0.151, 0.349, 0.000), Pt at (0.000, 0.000, 0.500) and C at (0.163, 0.663, 0.500).